# 1
Material: ScTl3F6
Method: DFT, PBE
State: optimized geometry

POSCAR file:
```
ScTl3F6
1.0
6.4923 0.0000 0.0000
0.0000 6.4923 0.0000
0.0000 0.0000 9.4821
F Tl Sc
12 6 2
Cartesian
3.2462 3.2462 6.7837 F
0.0000 0.0000 2.0427 F
2.3943 5.1051 4.7411 F
4.0981 1.3872 4.7411 F
0.8519 1.8590 0.0000 F
3.2462 3.2462 2.6984 F
5.1051 4.0981 4.7411 F
5.6404 4.6334 0.0000 F
4.6334 0.8519 0.0000 F
1.3872 2.3943 4.7411 F
0.0000 0.0000 7.4395 F
1.8590 5.6404 0.0000 F
0.0000 3.2462 2.3705 Tl
3.2462 3.2462 0.0000 Tl
0.0000 3.2462 7.1116 Tl
0.0000 0.0000 4.7411 Tl
3.2462 0.0000 2.3705 Tl
3.2462 0.0000 7.1116 Tl
0.0000 0.0000 0.0000 Sc
3.2462 3.2462 4.7411 Sc
```

Output
* formation energy without anion corrections: -2.675 eV per atom
* polymorph energy (0 for the lowest one): 0 meV/atom
* space group: P4/mnc (128)
* volume: 399.68 Å³ per cell



# 2
Material: ScTlF2
Method: DFT, PBE
State: optimized geometry

POSCAR file:
```
ScTlF2
1.0
0.0000 3.2127 3.2127
3.2127 0.0000 3.2127
3.2127 3.2127 0.0000
Tl Sc F
1 1 2
Cartesian
3.2127 3.2127 3.2127 Tl
0.0000 0.0000 0.0000 Sc
1.6063 1.6063 1.6063 F
4.8190 4.8190 4.8190 F
```

Output
* formation energy without anion corrections: -1.509 eV per atom
* polymorph energy (0 for the lowest one): 790 meV/atom
* space group: Fm-3m (225)
* volume: 66.32 Å³ per cell



# 3
Material: ScTlF6
Method: DFT, PBE
State: optimized geometry

POSCAR file:
```
ScTlF6
1.0
-2.4304 4.9993 1.9082
-2.5469 0.4883 5.2740
2.3041 3.1949 4.3617
F Tl Sc
6 1 1
Cartesian
-2.3535 4.3839 4.0087 F
-3.0974 4.4347 6.7896 F
-1.4389 2.3080 5.7819 F
0.4242 4.2478 4.7543 F
-0.3198 4.2986 7.5352 F
-1.2343 6.3745 5.7620 F
0.0000 0.0000 0.0000 Tl
-1.3366 4.3412 5.7719 Sc
```

Output
* formation energy without anion corrections: -2.878 eV per atom
* polymorph energy (0 for the lowest one): 0 meV/atom
* space group: R-3 (148)
* volume: 134.39 Å³ per cell



# 4
Material: Sc2Tl2F
Method: DFT, PBE
State: optimized geometry

POSCAR file:
```
Sc2Tl2F
1.0
-1.7628 5.1639 3.2526
2.4352 -2.5093 5.3035
4.5986 2.2340 -1.0545
Tl Sc F
4 4 2
Cartesian
1.6421 4.5840 3.9514 Tl
3.1536 2.4683 6.0608 Tl
2.1174 2.4204 1.4408 Tl
3.6289 0.3047 3.5501 Tl
0.1632 2.6145 6.2504 Sc
0.5092 0.0402 2.3057 Sc
-0.7679 3.0299 3.0701 Sc
1.4403 -0.3753 5.4860 Sc
0.3362 1.3273 4.2780 F
0.0000 0.0000 0.0000 F
```

Output
* formation energy without anion corrections: -1.046 eV per atom
* space group: P4/mbm (127)
* volume: 210.65 Å³ per cell



Q: Number 4 is which compound?
A: Sc2Tl2F



Q: Which formula does entry 1 have?
A: ScTl3F6



Q: Which value of volume does entry 2 give?
A: 66.32 Å³ per cell